First-principles (SCAN) data for ScSi2Te at its PBEsol-relaxed geometry, as listed in the Alexandria database.

Unit cell a=4.7311 b=4.7311 c=3.4501 alpha=90.00 beta=90.00 gamma=90.00
Sites, in units of the cell vectors:
Sc: 0.0000 0.0000 0.0000
Si: 0.0000 0.5000 0.5000
Si: 0.5000 0.0000 0.5000
Te: 0.5000 0.5000 0.0000

Results
Symmetry: P4/mmm
Formation energy from raw total energies in eV per atom: 0.0376